TlV2Sb2 | the Alexandria database | GGA-PBE | relaxed; E above lowest polymorph = 0.00 eV per formula unit; DOS(E_F) = 3.2 states/eV/f.u.; SG = P4/mbm (127); uncorrected formation energy = 0.156 eV/atom; crystal system = tetragonal
1.0
7.4716 0.0000 0.0000
0.0000 7.4716 0.0000
0.0000 0.0000 3.5897
Tl V Sb
2 4 4
Cartesian
0.0000 0.0000 0.0000
3.7358 3.7358 0.0000
0.9980 2.7378 0.0000
2.7378 6.4736 0.0000
4.7338 0.9980 0.0000
6.4736 4.7338 0.0000
1.1474 4.8831 1.7948
2.5884 1.1474 1.7948
4.8831 6.3242 1.7948
6.3242 2.5884 1.7948

CdAgBr2O | the Alexandria database | GGA-PBE | relaxed; DOS(E_F) = 3.7 states/eV/f.u.; SG = P4/mmm (123); uncorrected formation energy = 0.524 eV/atom; crystal system = tetragonal
1.0
5.3176 0.0000 0.0000
0.0000 5.3176 0.0000
0.0000 0.0000 5.8012
Cd Ag Br O
1 1 2 1
Cartesian
0.0000 0.0000 0.0000
0.0000 0.0000 2.9006
0.0000 2.6588 0.0000
2.6588 0.0000 0.0000
2.6588 2.6588 2.9006

CaOs2Ru | the Alexandria database | GGA-PBE | relaxed; E above lowest polymorph = 0.97 eV per formula unit; DOS(E_F) = 5.8 states/eV/f.u.; formation energy = 0.6476 eV/atom; SG = Cmmm (65); crystal system = orthorhombic
1.0
2.8240 -4.2176 0.0000
2.8240 4.2176 0.0000
0.0000 0.0000 2.6937
Ca Os Ru
1 2 1
Cartesian
0.0000 0.0000 0.0000
1.4120 2.1088 1.3469
1.4120 -2.1088 1.3469
2.8240 0.0000 0.0000